# 1
The following is a DFT calculation (PBE) of a geometry-optimized TaFe2Ru structure.

a b c (Å): 4.2700 4.2700 4.2700
angles (deg): 60.00 60.00 60.00
Fractional positions:
1 Ta 0.0000 0.0000 0.0000
2 Fe 0.2500 0.2500 0.2500
3 Fe 0.7500 0.7500 0.7500
4 Ru 0.5000 0.5000 0.5000

## Properties
Density: 11876 kg/m³
DFT total energy: -9.55 eV/atom
Magnetization: 4.7 μB/cell
ΔH_f (0 K): -0.04 eV per atom
Energy relative to the lowest polymorph listed for this composition: 0.100 eV/atom

# 2
The following is a DFT calculation (PBE) of a geometry-optimized TaFe2Ru structure.

a b c (Å): 2.7055 4.2232 5.0502
angles (deg): 90.00 102.69 90.00
Fractional positions:
1 Ta 0.0000 0.0000 0.0000
2 Fe 0.2547 0.5000 0.7441
3 Fe 0.7453 0.5000 0.2559
4 Ru 0.5000 0.0000 0.5000

## Properties
Density: 11613 kg/m³
DFT total energy: -9.48 eV/atom
Magnetization: 5.1 μB/cell
ΔH_f (0 K): 0.04 eV per atom
Energy relative to the lowest polymorph listed for this composition: 0.174 eV/atom

# 3
The following is a DFT calculation (PBE) of a geometry-optimized TaFeRu2 structure.

a b c (Å): 4.3079 4.3079 3.1804
angles (deg): 90.00 90.00 90.00
Fractional positions:
1 Ta 0.0000 0.0000 0.0000
2 Fe 0.5000 0.5000 0.0000
3 Ru 0.0000 0.5000 0.5000
4 Ru 0.5000 0.0000 0.5000

## Properties
Density: 12349 kg/m³
DFT total energy: -9.88 eV/atom
Magnetization: 4.3 μB/cell
ΔH_f (0 K): -0.16 eV per atom
Energy relative to the lowest polymorph listed for this composition: 0.035 eV/atom

# 4
The following is a DFT calculation (PBE) of a geometry-optimized TaFeRu2 structure.

a b c (Å): 9.0099 9.0099 9.0099
angles (deg): 17.56 17.56 17.56
Fractional positions:
1 Ta 0.0000 0.0000 0.0000
2 Fe 0.7521 0.7521 0.7521
3 Ru 0.2446 0.2446 0.2446
4 Ru 0.4952 0.4952 0.4952

## Properties
Density: 12537 kg/m³
DFT total energy: -9.52 eV/atom
Magnetization: 1.7 μB/cell
ΔH_f (0 K): 0.19 eV per atom
Energy relative to the lowest polymorph listed for this composition: 0.388 eV/atom